# 1
Compound: RbNbHgBr6
Source: Alexandria via LeMat-Bulk
Functional: PBE
Structure: optimized geometry

a = 8.4712 Å, b = 8.4712 Å, c = 12.4215 Å
α = 90.00°, β = 90.00°, γ = 120.00°
Fractional positions:
Rb 0.3333 0.6667 0.2500
Rb 0.6667 0.3333 0.7500
Nb 0.3333 0.6667 0.7500
Nb 0.6667 0.3333 0.2500
Hg 0.0000 0.0000 0.0000
Hg 0.0000 0.0000 0.5000
Br 0.0839 0.4260 0.6301
Br 0.0839 0.6579 0.8699
Br 0.3421 0.4260 0.8699
Br 0.3421 0.9161 0.6301
Br 0.4260 0.0839 0.1301
Br 0.4260 0.3421 0.3699
Br 0.5740 0.6579 0.6301
Br 0.5740 0.9161 0.8699
Br 0.6579 0.0839 0.3699
Br 0.6579 0.5740 0.1301
Br 0.9161 0.3421 0.1301
Br 0.9161 0.5740 0.3699

Computed properties:
SG ... P-31c
E_form (uncorrected) ... -822 kJ/mol of formula units
Final energy ... -3.322 eV/atom

# 2
Compound: Rb2NbHgBr
Source: Alexandria via LeMat-Bulk
Functional: PBE
Structure: optimized geometry

a = 6.7650 Å, b = 6.7650 Å, c = 5.1497 Å
α = 90.00°, β = 90.00°, γ = 90.00°
Fractional positions:
Rb 0.0000 0.5000 0.0000
Rb 0.5000 0.0000 0.0000
Nb 0.0000 0.0000 0.5000
Hg 0.5000 0.5000 0.5000
Br 0.0000 0.0000 0.0000

Computed properties:
SG ... P4/mmm
E_form (uncorrected) ... 141 kJ/mol of formula units
Final energy ... -2.503 eV/atom

# 3
Compound: Nb2HgRuBr
Source: Alexandria via LeMat-Bulk
Functional: PBE
Structure: optimized geometry

a = 4.8841 Å, b = 4.8841 Å, c = 5.0145 Å
α = 90.00°, β = 90.00°, γ = 90.00°
Fractional positions:
Nb 0.0000 0.5000 0.0000
Nb 0.5000 0.0000 0.0000
Hg 0.0000 0.0000 0.5000
Ru 0.5000 0.5000 0.0000
Br 0.5000 0.5000 0.5000

Computed properties:
SG ... P4/mmm
E_form (uncorrected) ... 507 kJ/mol of formula units
Final energy ... -5.227 eV/atom

# 4
Compound: NbTcHg2Br
Source: Alexandria via LeMat-Bulk
Functional: PBE
Structure: optimized geometry

a = 5.5947 Å, b = 5.5947 Å, c = 4.7017 Å
α = 90.00°, β = 90.00°, γ = 90.00°
Fractional positions:
Nb 0.0000 0.0000 0.0000
Tc 0.0000 0.0000 0.5000
Hg 0.0000 0.5000 0.0000
Hg 0.5000 0.0000 0.0000
Br 0.5000 0.5000 0.5000

Computed properties:
SG ... P4/mmm
E_form (uncorrected) ... 467 kJ/mol of formula units
Final energy ... -3.574 eV/atom

# 5
Compound: NdHg2Br8
Source: Alexandria via LeMat-Bulk
Functional: PBE
Structure: optimized geometry

a = 8.5303 Å, b = 8.5303 Å, c = 6.9071 Å
α = 100.87°, β = 100.87°, γ = 65.63°
Fractional positions:
Nd 0.0000 0.0000 0.0000
Hg 0.1988 0.1988 0.6941
Hg 0.8012 0.8012 0.3059
Br 0.1300 0.6996 0.2206
Br 0.1815 0.1815 0.2909
Br 0.3004 0.8700 0.7794
Br 0.3792 0.3792 0.8329
Br 0.6208 0.6208 0.1671
Br 0.6996 0.1300 0.2206
Br 0.8185 0.8185 0.7091
Br 0.8700 0.3004 0.7794

Computed properties:
SG ... C2/m
E_form (uncorrected) ... -855 kJ/mol of formula units
Final energy ... -2.510 eV/atom

# 6
Compound: NdHgBr6
Source: Alexandria via LeMat-Bulk
Functional: PBE
Structure: optimized geometry

a = 7.1670 Å, b = 7.2367 Å, c = 7.3784 Å
α = 61.59°, β = 67.20°, γ = 87.90°
Fractional positions:
Nd 0.0000 0.0000 0.0000
Hg 0.5000 0.5000 0.0000
Br 0.0492 0.1751 0.5319
Br 0.2420 0.4026 0.8065
Br 0.4137 0.8767 0.8565
Br 0.5863 0.1233 0.1435
Br 0.7580 0.5974 0.1935
Br 0.9508 0.8249 0.4681

Computed properties:
SG ... P-1
E_form (uncorrected) ... -727 kJ/mol of formula units
Final energy ... -2.830 eV/atom

# 7
Compound: Nd2HgBr
Source: Alexandria via LeMat-Bulk
Functional: PBE
Structure: optimized geometry

a = 3.5847 Å, b = 3.5847 Å, c = 8.5639 Å
α = 90.00°, β = 90.00°, γ = 90.00°
Fractional positions:
Nd 0.0000 0.0000 0.2418
Nd 0.0000 0.0000 0.7582
Hg 0.5000 0.5000 0.0000
Br 0.5000 0.5000 0.5000

Computed properties:
SG ... P4/mmm
E_form (uncorrected) ... -283 kJ/mol of formula units
Final energy ... -3.611 eV/atom

# 8
Compound: Nd6HgBr8
Source: Alexandria via LeMat-Bulk
Functional: PBE
Structure: optimized geometry

a = 11.8380 Å, b = 11.8380 Å, c = 11.8380 Å
α = 35.67°, β = 35.67°, γ = 35.67°
Fractional positions:
Nd 0.0542 0.3877 0.7200
Nd 0.2800 0.9458 0.6123
Nd 0.3877 0.7200 0.0542
Nd 0.6123 0.2800 0.9458
Nd 0.7200 0.0542 0.3877
Nd 0.9458 0.6123 0.2800
Hg 0.0000 0.0000 0.0000
Br 0.1091 0.7823 0.4365
Br 0.2177 0.5635 0.8909
Br 0.3333 0.3333 0.3333
Br 0.4365 0.1091 0.7823
Br 0.5635 0.8909 0.2177
Br 0.6667 0.6667 0.6667
Br 0.7823 0.4365 0.1091
Br 0.8909 0.2177 0.5635

Computed properties:
SG ... R-3
E_form (uncorrected) ... -1976 kJ/mol of formula units
Final energy ... -4.185 eV/atom

# 9
Compound: Nd2HgBr
Source: Alexandria via LeMat-Bulk
Functional: PBE
Structure: optimized geometry

a = 9.3693 Å, b = 9.3693 Å, c = 9.3693 Å
α = 23.88°, β = 23.88°, γ = 23.88°
Fractional positions:
Nd 0.0000 0.0000 0.0000
Nd 0.1675 0.1675 0.1675
Hg 0.4178 0.4178 0.4178
Br 0.5838 0.5838 0.5838

Computed properties:
SG ... R3m
E_form (uncorrected) ... -276 kJ/mol of formula units
Final energy ... -3.593 eV/atom

# 10
Compound: Nd2HgBr2
Source: Alexandria via LeMat-Bulk
Functional: PBE
Structure: optimized geometry

a = 11.6648 Å, b = 11.6648 Å, c = 11.6648 Å
α = 20.66°, β = 20.66°, γ = 20.66°
Fractional positions:
Nd 0.1076 0.1076 0.1076
Nd 0.8924 0.8924 0.8924
Hg 0.5000 0.5000 0.5000
Br 0.2795 0.2795 0.2795
Br 0.7205 0.7205 0.7205

Computed properties:
SG ... R-3m
E_form (uncorrected) ... -570 kJ/mol of formula units
Final energy ... -3.818 eV/atom

# 11
Compound: Nd2HgBr
Source: Alexandria via LeMat-Bulk
Functional: PBE
Structure: optimized geometry

a = 7.7222 Å, b = 7.7222 Å, c = 7.7222 Å
α = 32.77°, β = 32.77°, γ = 32.77°
Fractional positions:
Nd 0.2500 0.2500 0.2500
Nd 0.7500 0.7500 0.7500
Hg 0.0000 0.0000 0.0000
Br 0.5000 0.5000 0.5000

Computed properties:
SG ... R-3m
E_form (uncorrected) ... -297 kJ/mol of formula units
Final energy ... -3.648 eV/atom

# 12
Compound: NdHgBrO
Source: Alexandria via LeMat-Bulk
Functional: PBE
Structure: optimized geometry

a = 4.0656 Å, b = 4.0656 Å, c = 13.6102 Å
α = 90.00°, β = 90.00°, γ = 90.00°
Fractional positions:
Nd 0.2500 0.2500 0.0867
Nd 0.7500 0.7500 0.9133
Hg 0.2500 0.7500 0.5000
Hg 0.7500 0.2500 0.5000
Br 0.2500 0.2500 0.7918
Br 0.7500 0.7500 0.2082
O 0.2500 0.7500 0.0000
O 0.7500 0.2500 0.0000

Computed properties:
SG ... P4/nmm
E_form (uncorrected) ... -806 kJ/mol of formula units
Final energy ... -5.014 eV/atom

# 13
Compound: NdHgBrO2
Source: Alexandria via LeMat-Bulk
Functional: PBE
Structure: optimized geometry

a = 6.8717 Å, b = 3.7816 Å, c = 7.8846 Å
α = 90.00°, β = 95.83°, γ = 90.00°
Fractional positions:
Nd 0.1185 0.2500 0.2019
Nd 0.8815 0.7500 0.7981
Hg 0.3800 0.2500 0.8381
Hg 0.6200 0.7500 0.1619
Br 0.2251 0.7500 0.5405
Br 0.7749 0.2500 0.4595
O 0.0882 0.2500 0.8889
O 0.3222 0.7500 0.1562
O 0.6778 0.2500 0.8438
O 0.9118 0.7500 0.1111

Computed properties:
SG ... P2_1/m
E_form (uncorrected) ... -877 kJ/mol of formula units
Final energy ... -5.149 eV/atom

# 14
Compound: PmNdHgBr
Source: Alexandria via LeMat-Bulk
Functional: PBE
Structure: optimized geometry

a = 5.3906 Å, b = 5.3906 Å, c = 5.3906 Å
α = 60.00°, β = 60.00°, γ = 60.00°
Fractional positions:
Pm 0.0000 0.0000 0.0000
Nd 0.5000 0.5000 0.5000
Hg 0.7500 0.7500 0.7500
Br 0.2500 0.2500 0.2500

Computed properties:
SG ... F-43m
E_form (uncorrected) ... -239 kJ/mol of formula units
Final energy ... -3.491 eV/atom

# 15
Compound: RbNdHgBr6
Source: Alexandria via LeMat-Bulk
Functional: PBE
Structure: optimized geometry

a = 7.5051 Å, b = 7.5051 Å, c = 15.1699 Å
α = 90.00°, β = 90.00°, γ = 120.00°
Fractional positions:
Rb 0.0000 0.0000 0.0000
Rb 0.0000 0.0000 0.5000
Nd 0.3333 0.6667 0.2500
Nd 0.6667 0.3333 0.7500
Hg 0.3333 0.6667 0.7500
Hg 0.6667 0.3333 0.2500
Br 0.0044 0.3799 0.6388
Br 0.0044 0.6245 0.8612
Br 0.3755 0.3799 0.8612
Br 0.3755 0.9956 0.6388
Br 0.3799 0.0044 0.1388
Br 0.3799 0.3755 0.3612
Br 0.6201 0.6245 0.6388
Br 0.6201 0.9956 0.8612
Br 0.6245 0.0044 0.3612
Br 0.6245 0.6201 0.1388
Br 0.9956 0.3755 0.1388
Br 0.9956 0.6201 0.3612

Computed properties:
SG ... P-31c
E_form (uncorrected) ... -1186 kJ/mol of formula units
Final energy ... -3.152 eV/atom

# 16
Compound: Nd6HgRh2Br3
Source: Alexandria via LeMat-Bulk
Functional: PBE
Structure: optimized geometry

a = 10.1643 Å, b = 10.1643 Å, c = 9.2554 Å
α = 108.34°, β = 108.34°, γ = 23.52°
Fractional positions:
Nd 0.0222 0.0222 0.2588
Nd 0.3170 0.3170 0.4364
Nd 0.3377 0.3377 0.8735
Nd 0.6623 0.6623 0.1265
Nd 0.6830 0.6830 0.5636
Nd 0.9778 0.9778 0.7412
Hg 0.5000 0.5000 0.0000
Rh 0.1687 0.1687 0.3412
Rh 0.8313 0.8313 0.6588
Br 0.1652 0.1652 0.8398
Br 0.5000 0.5000 0.5000
Br 0.8348 0.8348 0.1602

Computed properties:
SG ... C2/m
E_form (uncorrected) ... -1110 kJ/mol of formula units
Final energy ... -5.011 eV/atom

# 17
Compound: Nd3HgSeBr
Source: Alexandria via LeMat-Bulk
Functional: PBE
Structure: optimized geometry

a = 8.0588 Å, b = 4.1946 Å, c = 11.3282 Å
α = 90.00°, β = 108.93°, γ = 90.00°
Fractional positions:
Nd 0.1643 0.2500 0.1389
Nd 0.1975 0.2500 0.4903
Nd 0.3208 0.7500 0.8360
Nd 0.6792 0.2500 0.1640
Nd 0.8025 0.7500 0.5097
Nd 0.8357 0.7500 0.8611
Hg 0.0110 0.2500 0.7166
Hg 0.9890 0.7500 0.2834
Se 0.4013 0.7500 0.1058
Se 0.5987 0.2500 0.8942
Br 0.4778 0.7500 0.6211
Br 0.5222 0.2500 0.3789

Computed properties:
SG ... P2_1/m
E_form (uncorrected) ... -636 kJ/mol of formula units
Final energy ... -4.392 eV/atom

# 18
Compound: NdSmHgBr
Source: Alexandria via LeMat-Bulk
Functional: PBE
Structure: optimized geometry

a = 5.3802 Å, b = 5.3802 Å, c = 5.3802 Å
α = 60.00°, β = 60.00°, γ = 60.00°
Fractional positions:
Nd 0.0000 0.0000 0.0000
Sm 0.5000 0.5000 0.5000
Hg 0.7500 0.7500 0.7500
Br 0.2500 0.2500 0.2500

Computed properties:
SG ... F-43m
E_form (uncorrected) ... -236 kJ/mol of formula units
Final energy ... -3.476 eV/atom

# 19
Compound: Nd3HgTeBr
Source: Alexandria via LeMat-Bulk
Functional: PBE
Structure: optimized geometry

a = 8.3818 Å, b = 4.2618 Å, c = 11.0020 Å
α = 90.00°, β = 109.49°, γ = 90.00°
Fractional positions:
Nd 0.0257 0.2500 0.2730
Nd 0.2249 0.2500 0.0320
Nd 0.3866 0.7500 0.5912
Nd 0.6134 0.2500 0.4088
Nd 0.7751 0.7500 0.9680
Nd 0.9743 0.7500 0.7270
Hg 0.1126 0.2500 0.5772
Hg 0.8874 0.7500 0.4228
Te 0.3213 0.7500 0.2769
Te 0.6787 0.2500 0.7231
Br 0.3542 0.7500 0.8819
Br 0.6458 0.2500 0.1181

Computed properties:
SG ... P2_1/m
E_form (uncorrected) ... -538 kJ/mol of formula units
Final energy ... -4.165 eV/atom

# 20
Compound: NdTlHgBr6
Source: Alexandria via LeMat-Bulk
Functional: PBE
Structure: optimized geometry

a = 7.4537 Å, b = 7.4537 Å, c = 14.5699 Å
α = 90.00°, β = 90.00°, γ = 120.00°
Fractional positions:
Nd 0.3333 0.6667 0.2500
Nd 0.6667 0.3333 0.7500
Tl 0.0000 0.0000 0.0000
Tl 0.0000 0.0000 0.5000
Hg 0.3333 0.6667 0.7500
Hg 0.6667 0.3333 0.2500
Br 0.0049 0.3716 0.6352
Br 0.0049 0.6334 0.8648
Br 0.3666 0.3716 0.8648
Br 0.3666 0.9951 0.6352
Br 0.3716 0.0049 0.1352
Br 0.3716 0.3666 0.3648
Br 0.6284 0.6334 0.6352
Br 0.6284 0.9951 0.8648
Br 0.6334 0.0049 0.3648
Br 0.6334 0.6284 0.1352
Br 0.9951 0.3666 0.1352
Br 0.9951 0.6284 0.3648

Computed properties:
SG ... P-31c
E_form (uncorrected) ... -1004 kJ/mol of formula units
Final energy ... -3.097 eV/atom

# 21
Compound: Ni3HgBr
Source: Alexandria via LeMat-Bulk
Functional: PBE
Structure: optimized geometry

a = 4.4259 Å, b = 4.4259 Å, c = 4.4259 Å
α = 90.00°, β = 90.00°, γ = 90.00°
Fractional positions:
Ni 0.0000 0.0000 0.5000
Ni 0.0000 0.5000 0.0000
Ni 0.5000 0.0000 0.0000
Hg 0.5000 0.5000 0.5000
Br 0.0000 0.0000 0.0000

Computed properties:
SG ... Pm-3m
E_form (uncorrected) ... 362 kJ/mol of formula units
Final energy ... -3.114 eV/atom

# 22
Compound: Ni3HgBr
Source: Alexandria via LeMat-Bulk
Functional: PBE
Structure: optimized geometry

a = 4.8379 Å, b = 4.8379 Å, c = 4.8379 Å
α = 90.00°, β = 90.00°, γ = 90.00°
Fractional positions:
Ni 0.0000 0.0000 0.5000
Ni 0.0000 0.5000 0.0000
Ni 0.5000 0.0000 0.0000
Hg 0.0000 0.0000 0.0000
Br 0.5000 0.5000 0.5000

Computed properties:
SG ... Pm-3m
E_form (uncorrected) ... 604 kJ/mol of formula units
Final energy ... -2.611 eV/atom

# 23
Compound: Ni2HgBr
Source: Alexandria via LeMat-Bulk
Functional: PBE
Structure: optimized geometry

a = 7.9884 Å, b = 7.9884 Å, c = 7.9884 Å
α = 145.31°, β = 145.31°, γ = 49.87°
Fractional positions:
Ni 0.0246 0.6250 0.8996
Ni 0.3750 0.2746 0.3996
Ni 0.7254 0.1250 0.1004
Ni 0.8750 0.9754 0.6004
Hg 0.2500 0.7500 0.5000
Hg 0.5000 0.5000 0.0000
Br 0.0000 0.0000 0.0000
Br 0.7500 0.2500 0.5000

Computed properties:
SG ... I-42d
E_form (uncorrected) ... 172 kJ/mol of formula units
Final energy ... -2.938 eV/atom

# 24
Compound: Ni2HgBr
Source: Alexandria via LeMat-Bulk
Functional: PBE
Structure: optimized geometry

a = 6.2235 Å, b = 6.2235 Å, c = 6.2235 Å
α = 150.87°, β = 138.79°, γ = 51.26°
Fractional positions:
Ni 0.0000 0.0000 0.0000
Ni 0.8314 0.3314 0.5000
Hg 0.4504 0.4504 0.0000
Br 0.1742 0.6742 0.5000

Computed properties:
SG ... Imm2
E_form (uncorrected) ... 130 kJ/mol of formula units
Final energy ... -3.047 eV/atom